Computed, not measured: Mn2Pd9Rh after structural relaxation at the PBE level of DFT.

a b c (Å): 3.919 3.919 11.794
angles (deg): 90.00 90.00 90.00
Element x y z (fractional)
Mn 0.000 0.000 0.166
Mn 0.000 0.000 0.834
Pd 0.000 0.500 0.000
Pd 0.000 0.500 0.333
Pd 0.000 0.500 0.667
Pd 0.500 0.000 0.000
Pd 0.500 0.000 0.333
Pd 0.500 0.000 0.667
Pd 0.500 0.500 0.166
Pd 0.500 0.500 0.500
Pd 0.500 0.500 0.834
Rh 0.000 0.000 0.500

Properties
ΔE_f ... -144.3 kJ/mol of formula units
V ... 181.2 Å³ per cell
Space-group type ... P4/mmm (123)
Crystal system ... tetragonal

***

Computed, not measured: Mn2PdRh9 after structural relaxation at the PBE level of DFT.

a b c (Å): 3.830 3.830 11.481
angles (deg): 90.00 90.00 90.00
Element x y z (fractional)
Mn 0.000 0.000 0.166
Mn 0.000 0.000 0.834
Pd 0.000 0.000 0.500
Rh 0.000 0.500 0.000
Rh 0.000 0.500 0.328
Rh 0.000 0.500 0.672
Rh 0.500 0.000 0.000
Rh 0.500 0.000 0.328
Rh 0.500 0.000 0.672
Rh 0.500 0.500 0.165
Rh 0.500 0.500 0.500
Rh 0.500 0.500 0.835

Properties
ΔE_f ... -68.7 kJ/mol of formula units
V ... 168.4 Å³ per cell
Space-group type ... P4/mmm (123)
Crystal system ... tetragonal

***

Computed, not measured: MnPd4Rh after structural relaxation at the PBE level of DFT.

a b c (Å): 8.804 7.976 5.333
angles (deg): 80.15 63.20 36.64
Element x y z (fractional)
Mn 0.125 0.125 0.125
Mn 0.875 0.875 0.875
Pd 0.031 0.534 0.219
Pd 0.219 0.716 0.031
Pd 0.284 0.781 0.466
Pd 0.466 0.969 0.284
Pd 0.534 0.031 0.716
Pd 0.716 0.219 0.534
Pd 0.781 0.284 0.969
Pd 0.969 0.466 0.781
Rh 0.375 0.375 0.375
Rh 0.625 0.625 0.625

Properties
ΔE_f ... 14.3 kJ/mol of formula units
V ... 186.3 Å³ per cell
Space-group type ... Fddd (70)
Crystal system ... orthorhombic

***

Computed, not measured: MnPd14Rh after structural relaxation at the PBE level of DFT.

a b c (Å): 9.134 5.551 5.551
angles (deg): 60.14 90.00 90.00
Element x y z (fractional)
Mn 0.000 0.000 0.000
Pd 0.000 0.002 0.502
Pd 0.000 0.502 0.002
Pd 0.245 0.331 0.832
Pd 0.245 0.832 0.331
Pd 0.248 0.334 0.334
Pd 0.248 0.834 0.834
Pd 0.500 0.165 0.165
Pd 0.500 0.165 0.665
Pd 0.500 0.665 0.165
Pd 0.500 0.665 0.665
Pd 0.752 0.334 0.334
Pd 0.752 0.834 0.834
Pd 0.755 0.331 0.832
Pd 0.755 0.832 0.331
Rh 0.000 0.500 0.500

Properties
ΔE_f ... -42.3 kJ/mol of formula units
V ... 244.1 Å³ per cell
Space-group type ... Amm2 (38)
Crystal system ... orthorhombic

***

Computed, not measured: Mn2Pd2Rh after structural relaxation at the PBE level of DFT.

a b c (Å): 4.311 4.329 5.180
angles (deg): 65.98 65.70 60.35
Element x y z (fractional)
Mn 0.101 0.102 0.198
Mn 0.899 0.898 0.802
Pd 0.291 0.291 0.625
Pd 0.709 0.709 0.375
Rh 0.500 0.500 0.000

Properties
ΔE_f ... -44.3 kJ/mol of formula units
V ... 74.0 Å³ per cell
Space-group type ... P-1 (2)
Crystal system ... triclinic

***

Computed, not measured: MnPd5Rh after structural relaxation at the PBE level of DFT.

a b c (Å): 4.697 4.697 5.475
angles (deg): 90.00 90.00 108.29
Element x y z (fractional)
Mn 0.000 0.000 0.000
Pd 0.000 0.500 0.257
Pd 0.000 0.500 0.743
Pd 0.500 0.000 0.257
Pd 0.500 0.000 0.743
Pd 0.500 0.500 0.000
Rh 0.500 0.500 0.500

Properties
ΔE_f ... 31.2 kJ/mol of formula units
V ... 114.7 Å³ per cell
Space-group type ... Cmmm (65)
Crystal system ... orthorhombic

***

- Which of these has the highest ΔE_f?
  MnPd5Rh

***

- Which of these has the lowest V?
  Mn2Pd2Rh

***

- Which of these has the lowest V?
  Mn2Pd2Rh